Record 1
{"formula": "MgBiIr2", "functional": "PBE-GGA", "state": "relaxed", "magnetic_moment_mub_per_fu": 0.00, "de_polymorph_mev_per_atom": 295, "dos_at_fermi_per_ev_cell": 7.186, "lattice_angstrom": [[-0.811, -1.501, -3.843], [4.104, -0.694, -0.595], [0.741, -9.405, 1.216]], "species": ["Mg", "Mg", "Ir", "Ir", "Ir", "Ir", "Bi", "Bi"], "fractional_positions": [[0.500, 0.500, 0.000], [0.250, 0.750, 0.500], [0.572, 0.125, 0.250], [0.178, 0.625, 0.250], [0.375, 0.428, 0.750], [0.875, 0.822, 0.750], [0.000, 0.000, 0.000], [0.750, 0.250, 0.500]]}

=====

Record 2
{"formula": "MgGe3Cl", "functional": "PBE-GGA", "state": "relaxed", "magnetic_moment_mub_per_fu": 0.00, "formation_energy_uncorrected_ev_per_atom": 0.633, "de_polymorph_mev_per_atom": 15, "dos_at_fermi_per_ev_cell": 5.519, "lattice_angstrom": [[5.124, 0.000, 0.000], [0.000, 5.124, 0.000], [0.000, 0.000, 5.124]], "species": ["Ge", "Ge", "Ge", "Mg", "Cl"], "fractional_positions": [[0.000, 0.500, 0.000], [0.000, 0.000, 0.500], [0.500, 0.000, 0.000], [0.000, 0.000, 0.000], [0.500, 0.500, 0.500]]}

=====

Record 3
{"formula": "Ho4BPb2", "functional": "PBE-GGA", "state": "relaxed", "magnetic_moment_mub_per_fu": 0.00, "dft_energy_ry_per_atom": -0.37023, "dos_at_fermi_per_ev_cell": 4.491, "lattice_angstrom": [[-4.749, -0.587, 1.007], [-0.012, -4.199, -2.506], [-0.459, -6.408, 5.969]], "species": ["Pb", "Pb", "B", "Ho", "Ho", "Ho", "Ho"], "fractional_positions": [[0.640, 0.640, 0.721], [0.360, 0.360, 0.279], [0.000, 0.000, 0.000], [0.837, 0.837, 0.326], [0.163, 0.163, 0.674], [0.000, 0.500, 0.000], [0.500, 0.000, 0.000]]}

=====

Record 4
{"formula": "LiMnAs", "functional": "PBE-GGA", "state": "relaxed", "magnetic_moment_mub_per_fu": 3.52, "de_polymorph_mev_per_atom": 190, "dos_at_fermi_per_ev_cell": 4.448, "lattice_angstrom": [[-1.764, -3.546, -1.814], [3.309, -0.405, 2.804], [-3.529, -0.349, 4.114]], "species": ["As", "As", "Mn", "Mn", "Li", "Li"], "fractional_positions": [[0.333, 0.667, 0.250], [0.667, 0.333, 0.750], [0.333, 0.667, 0.750], [0.667, 0.333, 0.250], [0.000, 0.000, 0.000], [0.000, 0.000, 0.500]]}

=====

Record 5
{"formula": "VReNiMo", "functional": "PBE-GGA", "state": "relaxed", "magnetic_moment_mub_per_fu": 0.00, "dft_energy_ry_per_atom": -0.70013, "dos_at_fermi_per_ev_cell": 5.575, "lattice_angstrom": [[4.297, 0.000, 0.000], [2.148, 3.721, 0.000], [2.148, 1.240, 3.508]], "species": ["Re", "Mo", "V", "Ni"], "fractional_positions": [[0.750, 0.750, 0.750], [0.000, 0.000, 0.000], [0.500, 0.500, 0.500], [0.250, 0.250, 0.250]]}

=====

Record 6
{"formula": "Rb2AgSbCl6", "functional": "PBE-GGA", "state": "relaxed", "magnetic_moment_mub_per_fu": 0.00, "formation_energy_uncorrected_ev_per_atom": -1.250, "lattice_angstrom": [[7.604, 0.000, 0.000], [3.802, 6.585, 0.000], [3.802, 2.195, 6.209]], "species": ["Rb", "Rb", "Ag", "Sb", "Cl", "Cl", "Cl", "Cl", "Cl", "Cl"], "fractional_positions": [[0.750, 0.750, 0.750], [0.250, 0.250, 0.250], [0.500, 0.500, 0.500], [0.000, 0.000, 0.000], [0.753, 0.247, 0.247], [0.247, 0.247, 0.753], [0.247, 0.753, 0.753], [0.247, 0.753, 0.247], [0.753, 0.247, 0.753], [0.753, 0.753, 0.247]]}

=====

Record 7
{"formula": "CdCuTc2", "functional": "PBE-GGA", "state": "relaxed", "magnetic_moment_mub_per_fu": 0.00, "dft_energy_ry_per_atom": -0.44199, "dos_at_fermi_per_ev_cell": 3.544, "lattice_angstrom": [[-2.200, -1.320, 1.990], [2.862, -2.579, 1.454], [1.105, 3.058, 3.249]], "species": ["Cd", "Cu", "Tc", "Tc"], "fractional_positions": [[0.500, 0.000, 0.500], [0.000, 0.500, 0.500], [0.000, 0.000, 0.000], [0.500, 0.500, 0.000]]}